Record 1
A relaxed structure of NaFeTe2N, computed with GGA-PBE. Values from VASP.

Structure (Quantum ESPRESSO input):
```
&SYSTEM
  ibrav = 0, nat = 5, ntyp = 4
/
ATOMIC_SPECIES
Fe 55.84 Fe.upf
Te 127.60 Te.upf
N 14.01 N.upf
Na 22.99 Na.upf
ATOMIC_POSITIONS crystal
Fe 0.5000 0.5000 0.5000
Te 0.0000 0.5000 0.0000
Te 0.5000 0.0000 0.0000
N 0.0000 0.0000 0.5000
Na 0.0000 0.0000 0.0000
CELL_PARAMETERS angstrom
5.5556 0.0000 0.0000
0.0000 5.5556 0.0000
0.0000 0.0000 4.2261
```

Output
For the raw formation energy, the calculation gives 1542 meV per atom. Its offset from the most stable computed form is 153.5 kJ/mol of atoms.

Record 2
A relaxed structure of Ce2Ge3Ru5, computed with GGA-PBE. Values from VASP.

Structure (Quantum ESPRESSO input):
```
&SYSTEM
  ibrav = 0, nat = 20, ntyp = 3
/
ATOMIC_SPECIES
Ce 140.12 Ce.upf
Ru 101.07 Ru.upf
Ge 72.64 Ge.upf
ATOMIC_POSITIONS crystal
Ce 0.8261 0.2412 0.6522
Ce 0.1739 0.7412 0.3478
Ce 0.4895 0.7544 0.9791
Ce 0.5105 0.2544 0.0209
Ru 0.1301 0.2407 0.2603
Ru 0.2948 0.5213 0.5897
Ru 0.9468 0.0802 0.8937
Ru 0.8699 0.7407 0.7397
Ru 0.7088 0.4364 0.4176
Ru 0.2912 0.9364 0.5824
Ru 0.6042 0.8992 0.2084
Ru 0.3958 0.3992 0.7916
Ru 0.0532 0.5802 0.1063
Ru 0.7052 0.0213 0.4103
Ge 0.2275 0.2329 0.4550
Ge 0.0555 0.9771 0.1109
Ge 0.7725 0.7329 0.5450
Ge 0.6112 0.4814 0.2224
Ge 0.3888 0.9814 0.7776
Ge 0.9445 0.4771 0.8891
CELL_PARAMETERS angstrom
-1.8565 -3.3697 1.7621
5.7758 -2.5455 1.2173
1.1054 7.4294 10.2908
```

Output
For the energy of formation, the calculation gives -0.412 eV per atom.

Record 3
A relaxed structure of Sm4Ho2Ge3O2, computed with GGA-PBE. Values from VASP.

Structure (Quantum ESPRESSO input):
```
&SYSTEM
  ibrav = 0, nat = 11, ntyp = 4
/
ATOMIC_SPECIES
Sm 150.36 Sm.upf
O 16.00 O.upf
Ho 164.93 Ho.upf
Ge 72.64 Ge.upf
ATOMIC_POSITIONS crystal
Sm 0.0813 0.5812 0.1625
Sm 0.9187 0.4188 0.8375
Sm 0.4187 0.9188 0.8375
Sm 0.5813 0.0812 0.1625
O 0.6055 0.6055 0.2110
O 0.3945 0.3945 0.7890
Ho 0.3008 0.3008 0.6016
Ho 0.6992 0.6992 0.3984
Ge 0.8226 0.8226 0.6451
Ge 0.0000 0.0000 0.0000
Ge 0.1774 0.1774 0.3549
CELL_PARAMETERS angstrom
-2.4224 -3.7237 -1.3386
3.2192 -2.7672 1.8720
-6.3190 3.3707 10.0996
```

Output
For the raw formation energy, the calculation gives -1505 meV per atom.

Record 4
A relaxed structure of BaCd8In4, computed with GGA-PBE. Values from VASP.

Structure (Quantum ESPRESSO input):
```
&SYSTEM
  ibrav = 0, nat = 13, ntyp = 3
/
ATOMIC_SPECIES
In 114.82 In.upf
Ba 137.33 Ba.upf
Cd 112.41 Cd.upf
ATOMIC_POSITIONS crystal
In 0.5000 0.5000 0.0000
In 0.0000 0.5000 0.0000
In 0.5000 0.0000 0.5000
In 0.0000 0.0000 0.5000
Ba 0.0000 0.0000 0.0000
Cd 0.2843 0.2157 0.2157
Cd 0.5000 0.2157 0.7843
Cd 0.0000 0.6438 0.3562
Cd 0.7157 0.7843 0.7843
Cd 0.6438 0.3562 0.3562
Cd 0.0000 0.3562 0.6438
Cd 0.3562 0.6438 0.6438
Cd 0.5000 0.7843 0.2157
CELL_PARAMETERS angstrom
6.7438 0.0000 0.0000
3.3719 7.1204 0.0000
3.3719 0.0000 7.1204
```

Output
For the energy of formation, the calculation gives -0.098 eV per atom.